Entry w
The following is a DFT calculation (PBE) of a relaxed AgGeTeO crystal.

The structure in POSCAR format:
```
AgGeTeO
1.0
7.824 0.000 0.000
0.000 7.863 0.000
0.000 0.000 11.059
Ag Ge O Te
8 8 8 8
Direct
0.194 0.408 0.227
0.306 0.908 0.227
0.694 0.408 0.273
0.806 0.908 0.273
0.194 0.092 0.727
0.306 0.592 0.727
0.694 0.092 0.773
0.806 0.592 0.773
0.488 0.229 0.065
0.012 0.729 0.065
0.988 0.229 0.435
0.512 0.729 0.435
0.488 0.271 0.565
0.012 0.771 0.565
0.988 0.271 0.935
0.512 0.771 0.935
0.456 0.239 0.223
0.044 0.739 0.223
0.956 0.239 0.277
0.544 0.739 0.277
0.456 0.261 0.723
0.044 0.761 0.723
0.956 0.261 0.777
0.544 0.761 0.777
0.759 0.002 0.021
0.741 0.502 0.021
0.259 0.002 0.479
0.241 0.502 0.479
0.759 0.498 0.521
0.741 0.998 0.521
0.259 0.498 0.979
0.241 0.998 0.979
```

Results
calculated volume = 21.26 A^3/atom


Entry x
The following is a DFT calculation (PBE) of a relaxed AgGeTeO crystal.

The structure in POSCAR format:
```
AgGeTeO
1.0
-5.107 -1.894 -0.833
1.845 -3.164 -4.117
1.087 -4.752 4.139
Ag Ge O Te
2 2 2 2
Direct
0.750 0.750 0.266
0.250 0.250 0.734
0.250 0.250 0.325
0.750 0.750 0.675
0.250 0.250 0.061
0.750 0.750 0.939
0.750 0.250 0.500
0.250 0.750 0.500
```

Results
calculated volume = 24.27 A^3/atom


Entry y
The following is a DFT calculation (PBE) of a relaxed AgGeTeO crystal.

The structure in POSCAR format:
```
AgGeTeO
1.0
-0.759 -1.946 3.044
3.574 0.052 0.924
-1.633 9.663 5.770
Ag Ge O Te
2 2 2 2
Direct
0.750 0.750 0.386
0.250 0.250 0.614
0.750 0.250 0.000
0.250 0.750 0.000
0.250 0.250 0.408
0.750 0.750 0.592
0.250 0.250 0.231
0.750 0.750 0.769
```

Results
calculated volume = 19.38 A^3/atom


What should be chosen as the least stable of them? Choose entry y.


Entry w
The following is a DFT calculation (PBE) of a relaxed AgGeTeO crystal.

The structure in POSCAR format:
```
AgGeTeO
1.0
-1.467 -3.744 -0.714
3.269 -1.629 1.826
-4.729 0.204 8.649
Ag Ge O Te
2 2 2 2
Direct
0.750 0.750 0.162
0.250 0.250 0.838
0.250 0.250 0.436
0.750 0.750 0.564
0.750 0.250 0.500
0.250 0.750 0.500
0.250 0.250 0.157
0.750 0.750 0.843
```

Results
calculated volume = 20.55 A^3/atom


Entry x
The following is a DFT calculation (PBE) of a relaxed AgGeTeO crystal.

The structure in POSCAR format:
```
AgGeTeO
1.0
4.153 0.000 0.000
0.000 4.153 0.000
0.000 0.000 9.456
Ag Ge O Te
2 2 2 2
Direct
0.750 0.250 0.000
0.250 0.750 0.000
0.750 0.750 0.351
0.250 0.250 0.649
0.250 0.250 0.467
0.750 0.750 0.533
0.250 0.250 0.229
0.750 0.750 0.771
```

Results
calculated volume = 20.39 A^3/atom


What should be chosen as the least stable of them? Choose entry x.


Entry w
The following is a DFT calculation (PBE) of a relaxed AgGeTeO crystal.

The structure in POSCAR format:
```
AgGeTeO
1.0
4.267 0.000 0.000
0.000 4.267 0.000
0.000 0.000 8.997
Ag Ge O Te
2 2 2 2
Direct
0.750 0.750 0.456
0.250 0.250 0.544
0.750 0.750 0.140
0.250 0.250 0.860
0.750 0.250 0.500
0.250 0.750 0.500
0.250 0.250 0.165
0.750 0.750 0.835
```

Results
calculated volume = 20.48 A^3/atom


Entry x
The following is a DFT calculation (PBE) of a relaxed AgGeTeO crystal.

The structure in POSCAR format:
```
AgGeTeO
1.0
-1.985 -3.328 3.070
4.286 -2.463 0.102
2.363 4.372 6.268
Ag Ge O Te
2 2 2 2
Direct
0.250 0.250 0.322
0.750 0.750 0.678
0.750 0.750 0.162
0.250 0.250 0.838
0.250 0.250 0.047
0.750 0.750 0.953
0.750 0.250 0.500
0.250 0.750 0.500
```

Results
calculated volume = 24.44 A^3/atom


What should be chosen as the least stable of them? Choose entry w.


Entry w
The following is a DFT calculation (PBE) of a relaxed RbAg3GeS4 crystal.

The structure in POSCAR format:
```
RbAg3GeS4
1.0
-4.536 1.509 4.280
-0.522 -6.185 1.627
4.508 0.802 4.495
Ag Ge Rb S
3 1 1 4
Direct
0.500 0.000 0.000
0.000 0.500 0.000
0.000 0.000 0.500
0.000 0.000 0.000
0.500 0.500 0.500
0.798 0.202 0.202
0.202 0.798 0.202
0.202 0.202 0.798
0.798 0.798 0.798
```

Results
calculated volume = 29.35 A^3/atom


Entry x
The following is a DFT calculation (PBE) of a relaxed RbAg3GeS4 crystal.

The structure in POSCAR format:
```
RbAg3GeS4
1.0
6.364 0.000 0.000
0.000 7.512 0.000
-2.890 0.000 9.984
Ag Ge Rb S
6 2 2 8
Direct
0.065 0.250 0.204
0.195 0.050 0.459
0.195 0.450 0.459
0.805 0.550 0.541
0.805 0.950 0.541
0.935 0.750 0.796
0.624 0.250 0.281
0.376 0.750 0.719
0.359 0.750 0.140
0.641 0.250 0.860
0.353 0.250 0.095
0.829 0.004 0.280
0.829 0.496 0.280
0.540 0.250 0.482
0.460 0.750 0.518
0.171 0.504 0.720
0.171 0.996 0.720
0.647 0.750 0.905
```

Results
calculated volume = 26.52 A^3/atom


What should be chosen as the least stable of them? Choose entry w.


Entry w
The following is a DFT calculation (PBE) of a relaxed RbAg3GeSe4 crystal.

The structure in POSCAR format:
```
RbAg3GeSe4
1.0
6.678 0.000 0.000
0.000 6.678 0.000
0.000 0.000 6.678
Ag Ge Rb Se
3 1 1 4
Direct
0.500 0.500 0.000
0.500 0.000 0.500
0.000 0.500 0.500
0.500 0.500 0.500
0.000 0.000 0.000
0.293 0.293 0.293
0.707 0.707 0.293
0.707 0.293 0.707
0.293 0.707 0.707
```

Results
calculated volume = 33.09 A^3/atom


Entry x
The following is a DFT calculation (PBE) of a relaxed RbAg3GeSe4 crystal.

The structure in POSCAR format:
```
RbAg3GeSe4
1.0
6.570 0.000 0.000
0.000 7.825 0.000
-2.977 0.000 10.344
Ag Ge Rb Se
6 2 2 8
Direct
0.075 0.250 0.219
0.192 0.054 0.463
0.192 0.446 0.463
0.808 0.554 0.537
0.808 0.946 0.537
0.925 0.750 0.781
0.623 0.250 0.279
0.377 0.750 0.721
0.329 0.750 0.131
0.671 0.250 0.869
0.342 0.250 0.087
0.831 0.505 0.278
0.831 0.995 0.278
0.543 0.250 0.488
0.457 0.750 0.512
0.169 0.005 0.722
0.169 0.495 0.722
0.658 0.750 0.913
```

Results
calculated volume = 29.54 A^3/atom


What should be chosen as the least stable of them? Choose entry w.


Entry w
The following is a DFT calculation (PBE) of a relaxed TlAg3GeS4 crystal.

The structure in POSCAR format:
```
TlAg3GeS4
1.0
-4.617 -4.260 0.775
1.000 -2.151 -5.868
4.213 -4.158 2.242
Ag Ge S Tl
3 1 4 1
Direct
0.500 0.000 0.000
0.000 0.500 0.000
0.000 0.000 0.500
0.000 0.000 0.000
0.793 0.207 0.207
0.207 0.793 0.207
0.207 0.207 0.793
0.793 0.793 0.793
0.500 0.500 0.500
```

Results
calculated volume = 28.18 A^3/atom


Entry x
The following is a DFT calculation (PBE) of a relaxed TlAg3GeS4 crystal.

The structure in POSCAR format:
```
TlAg3GeS4
1.0
6.431 0.000 0.000
0.000 7.402 0.000
-3.076 0.000 9.668
Ag Ge S Tl
6 2 8 2
Direct
0.240 0.049 0.050
0.240 0.451 0.050
0.343 0.250 0.322
0.657 0.750 0.678
0.760 0.549 0.950
0.760 0.951 0.950
0.825 0.250 0.221
0.175 0.750 0.779
0.555 0.250 0.017
0.035 0.004 0.226
0.035 0.496 0.226
0.737 0.250 0.416
0.263 0.750 0.584
0.965 0.504 0.774
0.965 0.996 0.774
0.445 0.750 0.983
0.800 0.750 0.387
0.200 0.250 0.613
```

Results
calculated volume = 25.57 A^3/atom


What should be chosen as the least stable of them? Choose entry w.


Entry w
The following is a DFT calculation (PBE) of a relaxed YScAg2Ge2 crystal.

The structure in POSCAR format:
```
YScAg2Ge2
1.0
-2.869 -0.873 3.284
0.355 -2.792 -3.444
5.046 -3.613 3.449
Ag Ge Sc Y
2 2 1 1
Direct
0.667 0.333 0.277
0.333 0.667 0.808
0.333 0.667 0.198
0.667 0.333 0.714
0.000 0.000 0.002
0.000 0.000 0.503
```

Results
calculated volume = 20.27 A^3/atom


Entry x
The following is a DFT calculation (PBE) of a relaxed YScAg2Ge2 crystal.

The structure in POSCAR format:
```
YScAg2Ge2
1.0
-6.951 3.961 4.267
-2.715 -3.397 -1.269
6.416 -8.340 8.602
Ag Ge Sc Y
8 8 4 4
Direct
0.000 0.000 0.001
0.380 0.500 0.259
0.879 0.500 0.260
0.255 0.000 0.496
0.741 0.000 0.497
0.614 0.500 0.743
0.137 0.500 0.752
0.497 0.000 0.992
0.563 0.500 0.126
0.065 0.500 0.130
0.439 0.000 0.377
0.939 0.000 0.378
0.313 0.500 0.620
0.807 0.500 0.622
0.682 0.000 0.870
0.190 0.000 0.874
0.188 0.500 0.377
0.689 0.500 0.378
0.561 0.000 0.624
0.441 0.500 0.874
0.316 0.000 0.127
0.811 0.000 0.128
0.060 0.000 0.622
0.933 0.500 0.871
```

Results
calculated volume = 21.94 A^3/atom


What should be chosen as the least stable of them? Choose entry x.


Entry w
The following is a DFT calculation (PBE) of a relaxed TlAg3GeSe4 crystal.

The structure in POSCAR format:
```
TlAg3GeSe4
1.0
-4.366 4.019 2.759
-3.606 -5.155 1.802
3.280 -0.317 5.654
Ag Ge Se Tl
3 1 4 1
Direct
0.500 0.000 0.000
0.000 0.500 0.000
0.000 0.000 0.500
0.000 0.000 0.000
0.785 0.215 0.215
0.215 0.785 0.215
0.215 0.215 0.785
0.785 0.785 0.785
0.500 0.500 0.500
```

Results
calculated volume = 31.14 A^3/atom


Entry x
The following is a DFT calculation (PBE) of a relaxed TlAg3GeSe4 crystal.

The structure in POSCAR format:
```
TlAg3GeSe4
1.0
-0.732 6.589 -0.708
-0.643 -0.891 -7.634
-9.565 -4.118 1.286
Ag Ge Se Tl
6 2 8 2
Direct
0.230 0.054 0.043
0.230 0.446 0.043
0.335 0.250 0.306
0.665 0.750 0.694
0.770 0.554 0.957
0.770 0.946 0.957
0.821 0.250 0.220
0.179 0.750 0.780
0.548 0.250 0.007
0.037 0.504 0.228
0.037 0.996 0.228
0.731 0.250 0.421
0.269 0.750 0.579
0.963 0.004 0.772
0.963 0.496 0.772
0.452 0.750 0.993
0.794 0.750 0.398
0.206 0.250 0.602
```

Results
calculated volume = 28.59 A^3/atom


What should be chosen as the least stable of them? Choose entry w.


Entry w
The following is a DFT calculation (PBE) of a relaxed TlAgGeTe3 crystal.

The structure in POSCAR format:
```
TlAgGeTe3
1.0
0.223 6.858 -3.869
-3.462 5.898 -3.908
-1.625 5.820 10.224
Ag Ge Te Tl
2 2 6 2
Direct
0.887 0.887 0.250
0.113 0.113 0.750
0.500 0.500 0.000
0.500 0.500 0.500
0.859 0.859 0.020
0.533 0.533 0.250
0.859 0.859 0.480
0.141 0.141 0.520
0.467 0.467 0.750
0.141 0.141 0.980
0.222 0.222 0.250
0.778 0.778 0.750
```

Results
calculated volume = 28.80 A^3/atom


Entry x
The following is a DFT calculation (PBE) of a relaxed TlAgGeTe3 crystal.

The structure in POSCAR format:
```
TlAgGeTe3
1.0
-0.572 -1.660 9.018
-1.609 -5.290 7.338
9.401 -1.777 -1.964
Ag Ge Te Tl
2 2 6 2
Direct
0.498 0.498 0.289
0.502 0.502 0.711
0.829 0.829 0.423
0.171 0.171 0.577
0.500 0.500 0.000
0.337 0.337 0.214
0.664 0.664 0.360
0.000 0.000 0.500
0.336 0.336 0.640
0.663 0.663 0.786
0.147 0.147 0.066
0.853 0.853 0.934
```

Results
calculated volume = 29.30 A^3/atom


What should be chosen as the least stable of them? Choose entry w.